The following is a PBE-GGA calculation of TbSmCd after structural relaxation, from the Alexandria database.

Lattice parameters (Å, degrees): 5.292 5.292 3.604 90.00 90.00 120.00
Positions (direct):
Tb (0.000, 0.000, 0.000)
Sm (0.667, 0.333, 0.564)
Cd (0.333, 0.667, 0.257)

Results
**Symmetry**: P3m1
**DFT formation energy**: -0.078 eV per atom
**Size of the total moment**: 0.000 μB per atom
**Polymorph energy (0 for the lowest one)**: 119 meV per atom
**DFT total energy**: -3.500 eV per atom

=====

The following is a PBE-GGA calculation of SmUZn4 after structural relaxation, from the Alexandria database.

Lattice parameters (Å, degrees): 5.476 5.476 5.476 60.00 60.00 60.00
Positions (direct):
Sm (0.000, 0.000, 0.000)
U (0.250, 0.250, 0.250)
Zn (0.125, 0.625, 0.625)
Zn (0.625, 0.125, 0.625)
Zn (0.625, 0.625, 0.125)
Zn (0.625, 0.625, 0.625)

Results
**Symmetry**: F-43m
**DFT formation energy**: -0.055 eV per atom
**Size of the total moment**: 0.417 μB per atom
**DFT total energy**: -3.572 eV per atom

=====

The following is a PBE-GGA calculation of La3AlPd2 after structural relaxation, from the Alexandria database.

Lattice parameters (Å, degrees): 7.595 9.087 9.554 90.00 106.50 90.00
Positions (direct):
La (0.162, 0.120, 0.459)
La (0.162, 0.380, 0.959)
La (0.221, 0.049, 0.102)
La (0.221, 0.451, 0.602)
La (0.315, 0.724, 0.357)
La (0.315, 0.776, 0.857)
La (0.685, 0.224, 0.143)
La (0.685, 0.276, 0.643)
La (0.779, 0.549, 0.398)
La (0.779, 0.951, 0.898)
La (0.838, 0.620, 0.041)
La (0.838, 0.880, 0.541)
Al (0.401, 0.150, 0.817)
Al (0.401, 0.350, 0.317)
Al (0.599, 0.650, 0.683)
Al (0.599, 0.850, 0.183)
Pd (0.052, 0.107, 0.755)
Pd (0.052, 0.393, 0.255)
Pd (0.482, 0.560, 0.137)
Pd (0.482, 0.940, 0.637)
Pd (0.518, 0.060, 0.363)
Pd (0.518, 0.440, 0.863)
Pd (0.948, 0.607, 0.745)
Pd (0.948, 0.893, 0.245)

Results
**Symmetry**: P2_1/c
**DFT formation energy**: -0.612 eV per atom
**Size of the total moment**: 0.000 μB per atom
**DFT total energy**: -5.430 eV per atom